A relaxed structure of LiIn2Cu2. Source: Alexandria, functional PBE.

abc: 4.506 4.506 10.285
angles: 90.00 90.00 90.00
Space group I4/mmm (No. 139)
Unique sites:
Li 0.000 0.000 0.000 x2
In 0.000 0.500 0.250 x4
Cu 0.000 0.000 0.387 x4

Values from the calculation:
crystal system: tetragonal
magnetic moment: 0.000 μB per atom
excess energy over the best structure of this formula in the dataset: 200 meV per atom
formation energy from the elements: 0.1020 eV per atom